No. 1
! MgAlSi3 | the Alexandria database | PBE | optimized geometry; values from VASP
! - Raw formation energy: 773.3 meV per atom
! - Excess energy over the best structure of this formula in the dataset: 0.00 eV/f.u.
&SYSTEM
  ibrav = 0, nat = 5, ntyp = 3
/
ATOMIC_SPECIES
Mg 24.30 Mg.upf
Al 26.98 Al.upf
Si 28.09 Si.upf
CELL_PARAMETERS angstrom
4.780 0.000 0.000
0.000 4.780 0.000
0.000 0.000 4.780
ATOMIC_POSITIONS crystal
Mg 0.000 0.000 0.000
Al 0.500 0.500 0.500
Si 0.000 0.500 0.500
Si 0.500 0.000 0.500
Si 0.500 0.500 0.000

No. 2
! MgAlSi2 | the Alexandria database | PBE | optimized geometry; values from VASP
! - Raw formation energy: 187.9 meV per atom
! - Excess energy over the best structure of this formula in the dataset: 0.21 eV/f.u.
&SYSTEM
  ibrav = 0, nat = 4, ntyp = 3
/
ATOMIC_SPECIES
Mg 24.30 Mg.upf
Al 26.98 Al.upf
Si 28.09 Si.upf
CELL_PARAMETERS angstrom
1.614 0.932 7.797
-1.614 0.932 7.797
0.000 -1.864 7.797
ATOMIC_POSITIONS crystal
Mg 0.000 0.000 0.000
Al 0.500 0.500 0.500
Si 0.245 0.245 0.245
Si 0.755 0.755 0.755

No. 3
! MgAl2Si2 | the Alexandria database | PBE | optimized geometry; values from VASP
! - Raw formation energy: -10.8 meV per atom
&SYSTEM
  ibrav = 0, nat = 5, ntyp = 3
/
ATOMIC_SPECIES
Mg 24.30 Mg.upf
Al 26.98 Al.upf
Si 28.09 Si.upf
CELL_PARAMETERS angstrom
4.086 0.000 0.000
-2.043 3.539 0.000
0.000 0.000 6.635
ATOMIC_POSITIONS crystal
Mg 0.000 0.000 0.000
Al 0.333 0.667 0.366
Al 0.667 0.333 0.634
Si 0.333 0.667 0.758
Si 0.667 0.333 0.242

No. 4
! Mg16Al12Si | the Alexandria database | PBE | optimized geometry; values from VASP
! - Raw formation energy: -16.7 meV per atom
! - Excess energy over the best structure of this formula in the dataset: 0.00 eV/f.u.
&SYSTEM
  ibrav = 0, nat = 29, ntyp = 3
/
ATOMIC_SPECIES
Mg 24.30 Mg.upf
Al 26.98 Al.upf
Si 28.09 Si.upf
CELL_PARAMETERS angstrom
5.230 -7.379 0.000
5.230 7.379 0.000
-5.032 0.000 7.469
ATOMIC_POSITIONS crystal
Mg 0.000 0.000 0.000
Mg 0.003 0.408 0.031
Mg 0.007 0.007 0.355
Mg 0.007 0.656 0.359
Mg 0.009 0.688 0.753
Mg 0.295 0.602 0.951
Mg 0.316 0.316 0.060
Mg 0.329 0.708 0.664
Mg 0.366 0.366 0.684
Mg 0.408 0.003 0.031
Mg 0.413 0.677 0.358
Mg 0.602 0.295 0.951
Mg 0.656 0.007 0.359
Mg 0.677 0.413 0.358
Mg 0.688 0.009 0.753
Mg 0.708 0.329 0.664
Al 0.007 0.192 0.717
Al 0.176 0.360 0.336
Al 0.188 0.812 0.164
Al 0.192 0.007 0.717
Al 0.360 0.176 0.336
Al 0.371 0.997 0.532
Al 0.641 0.829 0.993
Al 0.642 0.642 0.181
Al 0.812 0.188 0.164
Al 0.825 0.825 0.543
Al 0.829 0.641 0.993
Al 0.997 0.371 0.532
Si 0.665 0.665 0.694

No. 5
! MgAlSi | the Alexandria database | PBE | optimized geometry; values from VASP
! - Raw formation energy: 44.3 meV per atom
! - Excess energy over the best structure of this formula in the dataset: 0.28 eV/f.u.
&SYSTEM
  ibrav = 0, nat = 6, ntyp = 3
/
ATOMIC_SPECIES
Mg 24.30 Mg.upf
Al 26.98 Al.upf
Si 28.09 Si.upf
CELL_PARAMETERS angstrom
3.963 0.000 0.000
1.908 4.511 0.000
0.108 1.142 6.790
ATOMIC_POSITIONS crystal
Mg 0.000 0.000 0.000
Mg 0.312 0.383 0.270
Al 0.245 0.505 0.726
Al 0.518 0.965 0.628
Si 0.043 0.923 0.410
Si 0.697 0.594 0.954

No. 6
! Mg6AlSi | the Alexandria database | PBE | optimized geometry; values from VASP
! - Raw formation energy: 48.8 meV per atom
! - Excess energy over the best structure of this formula in the dataset: 0.00 eV/f.u.
&SYSTEM
  ibrav = 0, nat = 8, ntyp = 3
/
ATOMIC_SPECIES
Mg 24.30 Mg.upf
Al 26.98 Al.upf
Si 28.09 Si.upf
CELL_PARAMETERS angstrom
4.877 0.000 0.000
0.000 3.160 5.309
0.000 -3.160 5.309
ATOMIC_POSITIONS crystal
Mg 0.000 0.000 0.000
Mg 0.000 0.007 0.506
Mg 0.000 0.500 0.500
Mg 0.000 0.506 0.007
Mg 0.500 0.336 0.835
Mg 0.500 0.835 0.336
Al 0.500 0.336 0.336
Si 0.500 0.837 0.837

No. 7
! MgAlSi2 | the Alexandria database | PBE | optimized geometry; values from VASP
! - Raw formation energy: 178.7 meV per atom
! - Excess energy over the best structure of this formula in the dataset: 0.17 eV/f.u.
&SYSTEM
  ibrav = 0, nat = 4, ntyp = 3
/
ATOMIC_SPECIES
Mg 24.30 Mg.upf
Al 26.98 Al.upf
Si 28.09 Si.upf
CELL_PARAMETERS angstrom
3.338 0.000 0.000
0.000 3.338 0.000
0.000 0.000 6.100
ATOMIC_POSITIONS crystal
Mg 0.000 0.000 0.000
Al 0.500 0.500 0.706
Si 0.000 0.000 0.467
Si 0.500 0.500 0.286

No. 8
! Mg4AlSi | the Alexandria database | PBE | optimized geometry; values from VASP
! - Raw formation energy: 330.0 meV per atom
&SYSTEM
  ibrav = 0, nat = 6, ntyp = 3
/
ATOMIC_SPECIES
Mg 24.30 Mg.upf
Al 26.98 Al.upf
Si 28.09 Si.upf
CELL_PARAMETERS angstrom
0.000 3.992 3.992
3.992 0.000 3.992
3.992 3.992 0.000
ATOMIC_POSITIONS crystal
Mg 0.125 0.125 0.125
Mg 0.125 0.125 0.625
Mg 0.125 0.625 0.125
Mg 0.625 0.125 0.125
Al 0.500 0.500 0.500
Si 0.750 0.750 0.750

No. 9
! MgAlSi2 | the Alexandria database | PBE | optimized geometry; values from VASP
! - Raw formation energy: 135.4 meV per atom
! - Excess energy over the best structure of this formula in the dataset: 0.00 eV/f.u.
&SYSTEM
  ibrav = 0, nat = 4, ntyp = 3
/
ATOMIC_SPECIES
Mg 24.30 Mg.upf
Al 26.98 Al.upf
Si 28.09 Si.upf
CELL_PARAMETERS angstrom
4.758 -1.613 0.000
4.758 1.613 0.000
-1.582 0.000 4.423
ATOMIC_POSITIONS crystal
Mg 0.000 0.000 0.000
Al 0.787 0.787 0.339
Si 0.241 0.241 0.813
Si 0.545 0.545 0.518

No. 10
! MgAlSi | the Alexandria database | PBE | optimized geometry; values from VASP
! - Raw formation energy: 53.1 meV per atom
! - Excess energy over the best structure of this formula in the dataset: 0.31 eV/f.u.
&SYSTEM
  ibrav = 0, nat = 6, ntyp = 3
/
ATOMIC_SPECIES
Mg 24.30 Mg.upf
Al 26.98 Al.upf
Si 28.09 Si.upf
CELL_PARAMETERS angstrom
4.458 0.000 0.000
0.000 4.458 0.000
0.000 0.000 6.048
ATOMIC_POSITIONS crystal
Mg 0.250 0.750 0.000
Mg 0.750 0.250 0.000
Al 0.250 0.750 0.500
Al 0.750 0.250 0.500
Si 0.250 0.250 0.275
Si 0.750 0.750 0.725

No. 11
! Mg14AlSi | the Alexandria database | PBE | optimized geometry; values from VASP
! - Raw formation energy: 27.7 meV per atom
! - Excess energy over the best structure of this formula in the dataset: 0.07 eV/f.u.
&SYSTEM
  ibrav = 0, nat = 16, ntyp = 3
/
ATOMIC_SPECIES
Mg 24.30 Mg.upf
Al 26.98 Al.upf
Si 28.09 Si.upf
CELL_PARAMETERS angstrom
6.324 0.000 0.000
-3.162 5.477 0.000
0.000 0.000 9.986
ATOMIC_POSITIONS crystal
Mg 0.000 0.000 0.249
Mg 0.000 0.000 0.751
Mg 0.007 0.503 0.245
Mg 0.007 0.503 0.755
Mg 0.331 0.166 0.000
Mg 0.335 0.167 0.500
Mg 0.497 0.503 0.245
Mg 0.497 0.503 0.755
Mg 0.497 0.993 0.245
Mg 0.497 0.993 0.755
Mg 0.833 0.167 0.500
Mg 0.833 0.665 0.500
Mg 0.834 0.166 0.000
Mg 0.834 0.669 0.000
Al 0.333 0.667 0.500
Si 0.333 0.667 0.000

No. 12
! MgAlSi2 | the Alexandria database | PBE | optimized geometry; values from VASP
! - Raw formation energy: 193.2 meV per atom
! - Excess energy over the best structure of this formula in the dataset: 0.23 eV/f.u.
&SYSTEM
  ibrav = 0, nat = 4, ntyp = 3
/
ATOMIC_SPECIES
Mg 24.30 Mg.upf
Al 26.98 Al.upf
Si 28.09 Si.upf
CELL_PARAMETERS angstrom
-1.969 1.969 4.234
1.969 -1.969 4.234
1.969 1.969 -4.234
ATOMIC_POSITIONS crystal
Mg 0.000 0.000 0.000
Al 0.750 0.250 0.500
Si 0.250 0.750 0.500
Si 0.500 0.500 0.000